# 1
Density functional theory data (PBE) for a geometry-optimized CaTeBr2 structure.

Lattice parameters (Å, degrees): 3.481 3.481 12.194 90.00 90.00 90.00
Space group P4/mmm (No. 123)
One atom of each set of equivalent atoms:
Ca 0.000 0.000 0.000
Te 0.000 0.000 0.500
Br 0.500 0.500 0.141

**Total moment**: 0.00 μB/f.u.
**Energy above the lowest structure with this stoichiometry**: 27 meV per atom
**N(E_F)**: 0.35 states/eV/atom

=====

# 2
Density functional theory data (PBE) for a geometry-optimized Ca4Te3Br2 structure.

Lattice parameters (Å, degrees): 15.022 4.461 11.166 90.00 123.46 90.00
Space group C2/m (No. 12)
One atom of each set of equivalent atoms:
Ca 0.101 0.000 0.401
Ca 0.220 0.500 0.801
Te 0.000 0.500 0.500
Te 0.184 0.500 0.288
Br 0.124 0.000 0.880

**Total moment**: 0.00 μB/f.u.
**N(E_F)**: 0.00 states/eV/atom

=====

# 3
Density functional theory data (PBE) for a geometry-optimized Ca3Te2Br2 structure.

Lattice parameters (Å, degrees): 16.339 4.405 7.670 90.00 116.07 90.00
Space group C2/m (No. 12)
One atom of each set of equivalent atoms:
Ca 0.000 0.000 0.000
Ca 0.235 0.500 0.731
Te 0.129 0.500 0.282
Br 0.139 0.000 0.830

**Total moment**: 0.00 μB/f.u.
**N(E_F)**: 0.00 states/eV/atom

=====

# 4
Density functional theory data (PBE) for a geometry-optimized CaTeBr2 structure.

Lattice parameters (Å, degrees): 4.913 4.913 9.527 90.00 90.00 90.00
Space group I4/mmm (No. 139)
One atom of each set of equivalent atoms:
Ca 0.000 0.000 0.000
Te 0.000 0.000 0.500
Br 0.000 0.500 0.250

**Total moment**: 0.17 μB/f.u.
**Energy above the lowest structure with this stoichiometry**: 417 meV per atom
**N(E_F)**: 0.79 states/eV/atom

=====

# 5
Density functional theory data (PBE) for a geometry-optimized CaTeBr2 structure.

Lattice parameters (Å, degrees): 3.762 6.737 10.921 90.00 90.00 90.00
Space group Immm (No. 71)
One atom of each set of equivalent atoms:
Ca 0.000 0.000 0.000
Te 0.000 0.000 0.500
Br 0.000 0.500 0.309

**Total moment**: 1.44 μB/f.u.
**Energy above the lowest structure with this stoichiometry**: 210 meV per atom
**N(E_F)**: 0.44 states/eV/atom

=====

# 6
Density functional theory data (PBE) for a geometry-optimized CaTeBr2 structure.

Lattice parameters (Å, degrees): 7.806 7.806 7.806 90.00 90.00 90.00
Space group Fm-3m (No. 225)
One atom of each set of equivalent atoms:
Ca 0.000 0.000 0.000
Te 0.000 0.000 0.500
Br 0.250 0.250 0.250

**Total moment**: 1.99 μB/f.u.
**Energy above the lowest structure with this stoichiometry**: 445 meV per atom
**N(E_F)**: 0.70 states/eV/atom

=====

# 7
Density functional theory data (PBE) for a geometry-optimized CaTeBr2 structure.

Lattice parameters (Å, degrees): 14.066 4.144 5.270 90.00 97.55 90.00
Space group C2/m (No. 12)
One atom of each set of equivalent atoms:
Ca 0.000 0.000 0.000
Te 0.000 0.500 0.500
Br 0.149 0.500 0.195

**Total moment**: 0.00 μB/f.u.
**Energy above the lowest structure with this stoichiometry**: 0 meV per atom

=====

# 8
Density functional theory data (PBE) for a geometry-optimized CaTeBr2 structure.

Lattice parameters (Å, degrees): 3.998 4.733 6.054 90.00 90.00 90.00
Space group Pmmm (No. 47)
One atom of each set of equivalent atoms:
Ca 0.000 0.000 0.000
Te 0.500 0.000 0.500
Br 0.000 0.500 0.500
Br 0.500 0.500 0.000

**Total moment**: 0.00 μB/f.u.
**Energy above the lowest structure with this stoichiometry**: 216 meV per atom
**N(E_F)**: 0.22 states/eV/atom

=====

# 9
Density functional theory data (PBE) for a geometry-optimized CaTeBr2 structure.

Lattice parameters (Å, degrees): 3.776 3.776 8.428 90.00 90.00 90.00
Space group P4mm (No. 99)
One atom of each set of equivalent atoms:
Ca 0.000 0.000 0.000
Te 0.500 0.500 0.258
Br 0.000 0.000 0.475
Br 0.500 0.500 0.830

**Total moment**: 0.00 μB/f.u.
**Energy above the lowest structure with this stoichiometry**: 303 meV per atom
**N(E_F)**: 0.55 states/eV/atom

=====

# 10
Density functional theory data (PBE) for a geometry-optimized Ca6Te5Br structure.

Lattice parameters (Å, degrees): 7.761 13.443 7.756 90.00 109.37 90.00
Space group C2/m (No. 12)
One atom of each set of equivalent atoms:
Ca 0.244 0.000 0.251
Ca 0.244 0.170 0.744
Te 0.000 0.000 0.500
Te 0.000 0.168 0.000
Te 0.000 0.337 0.500
Br 0.000 0.500 0.000

**Total moment**: 0.00 μB/f.u.
**N(E_F)**: 0.25 states/eV/atom

=====

# 11
Density functional theory data (PBE) for a geometry-optimized CaTeBr2 structure.

Lattice parameters (Å, degrees): 9.417 9.417 6.732 90.00 90.00 90.00
Space group I-42d (No. 122)
One atom of each set of equivalent atoms:
Ca 0.000 0.000 0.000
Te 0.000 0.000 0.500
Br 0.149 0.250 0.125

**Total moment**: 2.00 μB/f.u.
**Energy above the lowest structure with this stoichiometry**: 226 meV per atom
**N(E_F)**: 0.14 states/eV/atom

=====

# 12
Density functional theory data (PBE) for a geometry-optimized CaTeBr6 structure.

Lattice parameters (Å, degrees): 7.036 13.251 7.023 90.00 107.90 90.00
Space group C2/m (No. 12)
One atom of each set of equivalent atoms:
Ca 0.000 0.000 0.000
Te 0.000 0.500 0.500
Br 0.236 0.354 0.738
Br 0.241 0.500 0.263

**Total moment**: 0.00 μB/f.u.
**Energy above the lowest structure with this stoichiometry**: 0 meV per atom
**N(E_F)**: 0.00 states/eV/atom

=====

Calculated formation energy (no corrections) in order - -1.139; -1.745; -1.758; -0.749; -0.956; -0.721; -1.166; -0.950; -0.863; -1.607; -0.940; -0.926 eV per atom
Calculated DFT total energy in order - -13.04; -72.96; -55.88; -22.97; -24.62; -45.49; -26.31; -12.29; -11.94; -97.36; -49.00; -45.18 eV for the cell shown